K2MoCl5O: relaxed, GGA+U.

```
data_K2MoCl5O
_cell_length_a 7.184
_cell_length_b 7.184
_cell_length_c 9.610
_cell_angle_alpha 90.00
_cell_angle_beta 90.00
_cell_angle_gamma 90.00
_space_group_name_H-M_alt 'I 4 m m'
_space_group_IT_number 107
_space_group_name_Hall 'I 4 -2'
loop_
_atom_site_label
_atom_site_type_symbol
_atom_site_fract_x
_atom_site_fract_y
_atom_site_fract_z
_atom_site_occupancy
K1 K 0.000 0.500 0.000 1
Mo1 Mo 0.000 0.000 0.233 1
Cl1 Cl 0.000 0.000 0.496 1
Cl2 Cl 0.239 0.239 0.254 1
O1 O 0.000 0.000 0.054 1
```

Results
The raw total energy is -36.82 eV per formula unit. The calculation puts the total magnetic moment at 1.0 μB per formula unit. The calculated density comes out at 2.5 Mg/m³.